(1)
Cu2OsPt (GGA-PBEsol, relaxed); crystal system = trigonal
1.0
-0.3192 0.6502 -2.5772
-1.0269 -1.7826 -1.7129
-8.2488 2.4918 0.2601
Cu Os Pt
2 1 1
direct
0.0035 0.0035 0.9895
0.7475 0.7475 0.7576
0.4972 0.4972 0.5085
0.2519 0.2519 0.2443

(2)
Cu2OsPt (GGA-PBEsol, relaxed); crystal system = orthorhombic
1.0
2.6325 0.0000 0.0522
0.0000 3.8101 0.0000
-0.1068 0.0000 5.2417
Cu Os Pt
2 1 1
direct
0.9998 0.0000 0.0121
0.5001 0.5000 0.2422
0.9999 0.0000 0.5007
0.5002 0.5000 0.7451

(3)
Cu2OsPt (GGA-PBEsol, relaxed); crystal system = tetragonal
1.0
2.7247 0.0000 0.0000
0.0000 4.3577 0.0000
0.0000 0.0000 4.3577
Cu Os Pt
2 1 1
direct
0.0000 0.0000 0.5000
0.0000 0.5000 0.0000
0.5000 0.5000 0.5000
0.5000 0.0000 0.0000

| no. | formation energy from the elements (eV per atom) | ΔE to the lowest computed polymorph (meV/atom) | theoretical density (kg/m3) |
| --- | --- | --- | --- |
| 1 | 0.146 | 11 | 16165 |
| 2 | 0.202 | 67 | 16178 |
| 3 | 0.342 | 207 | 16445 |